TiTlSb2Te PBE relaxed; excess energy over the best structure of this formula in the dataset = 0.000 eV per atom; total energy = -0.322 Ry/atom; crystal system = tetragonal
1.0
-4.081 2.416 -2.455
0.582 -3.267 -4.184
-3.460 -3.532 2.277
Sb Tl Te Ti
2 1 1 1
Cartesian
0.291 -1.634 -2.092
-2.041 1.208 -1.227
-3.479 -2.192 -2.181
-1.730 -1.766 1.138
0.000 0.000 0.000



TiTlSbTe2 PBE relaxed; excess energy over the best structure of this formula in the dataset = 0.000 eV per atom; total energy = -0.316 Ry/atom; crystal system = tetragonal
1.0
5.417 0.000 0.000
0.000 5.417 0.000
0.000 0.000 5.374
Sb Tl Te Ti
1 1 2 1
Cartesian
0.000 0.000 2.687
2.708 2.708 2.687
0.000 2.708 0.000
2.708 0.000 0.000
0.000 0.000 0.000



TiVSbTe2 PBE relaxed; excess energy over the best structure of this formula in the dataset = 0.000 eV per atom; total energy = -0.368 Ry/atom; crystal system = tetragonal
1.0
-5.239 0.723 -0.158
-0.661 -5.080 -1.325
-0.331 -1.285 5.090
Sb Te Ti V
1 2 1 1
Cartesian
-0.166 -0.642 2.545
-0.330 -2.540 -0.663
-2.619 0.362 -0.079
0.000 0.000 0.000
-3.116 -2.821 1.803



TiSbTe2W PBE relaxed; excess energy over the best structure of this formula in the dataset = 0.000 eV per atom; total energy = -0.391 Ry/atom; crystal system = tetragonal
1.0
5.340 0.000 0.000
0.000 5.340 0.000
0.000 0.000 5.226
Sb Te W Ti
1 2 1 1
Cartesian
0.000 0.000 2.613
0.000 2.670 0.000
2.670 0.000 0.000
0.000 0.000 0.000
2.670 2.670 2.613



TiZnSbTe2 PBE relaxed; excess energy over the best structure of this formula in the dataset = 0.583 eV per atom; total energy = -0.237 Ry/atom; crystal system = tetragonal
1.0
5.263 0.000 0.000
0.000 5.263 0.000
0.000 0.000 5.079
Sb Zn Te Ti
1 1 2 1
Cartesian
0.000 0.000 2.540
0.000 0.000 0.000
0.000 2.631 0.000
2.631 0.000 0.000
2.631 2.631 2.540



TiZnSbTe2 PBE relaxed; excess energy over the best structure of this formula in the dataset = 0.000 eV per atom; total energy = -0.280 Ry/atom; crystal system = tetragonal
1.0
5.309 0.000 0.000
0.000 5.309 0.000
0.000 0.000 5.356
Sb Zn Te Ti
1 1 2 1
Cartesian
0.000 0.000 2.678
2.654 2.654 2.678
0.000 2.654 0.000
2.654 0.000 0.000
0.000 0.000 0.000



ZrTiSbTe2 PBE relaxed; excess energy over the best structure of this formula in the dataset = 0.000 eV per atom; total energy = -0.377 Ry/atom; crystal system = tetragonal
1.0
-0.627 3.427 -3.939
-4.751 1.270 1.862
2.164 3.780 2.944
Sb Te Zr Ti
1 2 1 1
Cartesian
1.082 1.890 1.472
-2.376 0.635 0.931
-0.313 1.714 -1.969
-1.607 4.239 0.433
0.000 0.000 0.000



Tl4SbTe5 PBE relaxed; total energy = -0.228 Ry/atom; crystal system = tetragonal
1.0
-5.725 1.585 -2.106
-5.410 -5.752 0.945
-4.547 3.459 5.533
Tl Sb Te
4 1 5
Cartesian
-8.084 1.091 3.912
-11.628 -1.209 2.382
-4.068 0.504 1.984
-7.612 -1.796 0.454
-0.004 0.001 -0.001
-10.937 2.044 2.955
-8.842 -2.085 3.583
-6.853 1.381 0.784
-4.758 -2.749 1.412
-2.866 0.794 -1.054



TlSb2Te PBE relaxed; excess energy over the best structure of this formula in the dataset = 0.087 eV per atom; total energy = -0.248 Ry/atom; crystal system = monoclinic
1.0
5.907 0.000 0.000
0.000 3.196 0.024
0.000 -0.058 6.574
Sb Te Tl
2 1 1
Cartesian
0.000 0.792 0.175
0.000 0.777 3.124
2.953 0.785 1.649
2.953 2.354 4.948



TlSb2Te PBE relaxed; excess energy over the best structure of this formula in the dataset = 0.025 eV per atom; total energy = -0.252 Ry/atom; crystal system = monoclinic
1.0
6.251 0.000 0.000
0.000 3.202 0.132
0.000 2.176 6.425
Sb Te Tl
2 1 1
Cartesian
0.000 0.366 0.521
3.126 3.461 1.148
0.000 2.801 4.019
3.126 1.440 4.147



Tl2SbTe PBE relaxed; excess energy over the best structure of this formula in the dataset = 0.100 eV per atom; total energy = -0.216 Ry/atom; crystal system = tetragonal
1.0
-2.467 -2.685 -4.765
2.807 -5.262 -0.657
-2.591 2.416 4.842
Sb Te Tl
1 1 2
Cartesian
0.170 -3.973 -2.711
-2.444 -2.121 -1.317
0.000 0.000 0.000
0.193 -3.410 0.737



Tl2SbTe2 PBE relaxed; excess energy over the best structure of this formula in the dataset = 0.284 eV per atom; total energy = -0.210 Ry/atom; crystal system = tetragonal
1.0
4.315 0.000 0.000
0.000 4.315 0.000
2.157 2.157 8.639
Sb Tl Te
1 2 2
Cartesian
0.000 0.000 0.000
4.315 2.157 4.320
2.157 4.315 4.320
2.157 2.157 1.610
4.315 4.315 7.030



Looking at magnetization for the records above, in order, we have 0.000; 0.000; 3.314; 3.181; 0.000; 0.000; 1.674; 0.000; 0.000; 0.000; 0.000; 0.000 μB/cell.
Looking at formation energy without anion corrections for the records above, in order, we have -0.046; -0.162; 0.472; 0.925; 0.694; 0.111; 0.242; -0.174; 0.069; 0.008; 0.055; 0.164 eV per atom.
Looking at DOS at the Fermi energy for the records above, in order, we have 0.713; 0.832; 1.421; 1.724; 1.851; 0.738; 1.131; 0.586; 0.467; 0.406; 0.595; 0.572 states/eV per atom.